Compound: Ca3V2O8
Source: Alexandria via LeMat-Bulk
Functional: PBE+U
Structure: relaxed

Computed properties:
**Uncorrected energy**: -94.17 eV/f.u.
**ρ**: 3.033 Mg/m³

abc: 11.0104 11.0104 38.3396
angles: 90.00 90.00 120.00
Space group R3 (No. 146, hexagonal axes)
Symmetry-distinct sites (fractional):
Ca 0.0000 0.0000 0.0000 (multiplicity 3)
Ca 0.0000 0.0000 0.4989 (multiplicity 3)
Ca 0.0000 0.0000 0.6925 (multiplicity 3)
Ca 0.0469 0.4969 0.4946 (multiplicity 9)
Ca 0.0593 0.5302 0.0969 (multiplicity 9)
Ca 0.0594 0.5322 0.5975 (multiplicity 9)
Ca 0.0770 0.5446 0.9856 (multiplicity 9)
Ca 0.1598 0.7782 0.7341 (multiplicity 9)
Ca 0.1742 0.3873 0.2309 (multiplicity 9)
V 0.0000 0.0000 0.2652 (multiplicity 3)
V 0.0000 0.0000 0.7694 (multiplicity 3)
V 0.0211 0.4930 0.7994 (multiplicity 9)
V 0.0326 0.5340 0.3006 (multiplicity 9)
V 0.1472 0.3467 0.0313 (multiplicity 9)
V 0.1508 0.8020 0.5312 (multiplicity 9)
O 0.0000 0.0000 0.3108 (multiplicity 3)
O 0.0000 0.0000 0.8141 (multiplicity 3)
O 0.0130 0.1608 0.2551 (multiplicity 9)
O 0.0367 0.6276 0.5424 (multiplicity 9)
O 0.0415 0.1692 0.0404 (multiplicity 9)
O 0.0447 0.2756 0.3737 (multiplicity 9)
O 0.0471 0.4625 0.8422 (multiplicity 9)
O 0.0584 0.3785 0.7757 (multiplicity 9)
O 0.0593 0.6808 0.2767 (multiplicity 9)
O 0.0688 0.8977 0.5420 (multiplicity 9)
O 0.0727 0.8368 0.6763 (multiplicity 9)
O 0.0995 0.7013 0.0549 (multiplicity 9)
O 0.1079 0.6708 0.7895 (multiplicity 9)
O 0.1126 0.4442 0.2856 (multiplicity 9)
O 0.1196 0.4307 0.5523 (multiplicity 9)
O 0.1474 0.1448 0.7511 (multiplicity 9)
O 0.1758 0.0925 0.4576 (multiplicity 9)
O 0.1850 0.0887 0.9622 (multiplicity 9)
O 0.1863 0.8126 0.4871 (multiplicity 9)
O 0.1872 0.8097 0.9872 (multiplicity 9)